Entry 1:
{"formula": "CaScHg", "functional": "SCAN", "state": "PBEsol geometry", "lattice_angstrom": [[-0.771, -2.943, -1.817], [3.214, 1.466, -0.283], [2.396, -4.149, 5.706]], "species": ["Ca", "Hg", "Sc"], "frac_coords": [[0.000, 0.000, 0.975], [0.667, 0.333, 0.653], [0.333, 0.667, 0.372]], "dft_energy_ev_per_atom": -30.891, "n_ef_per_ev_cell": 2.7, "polymorph_energy_mev_per_atom": 0.0, "formation_enthalpy_0k_ev_per_atom": -0.202, "magnetic_moment_mub_per_atom": 0.04}

***

Entry 2:
{"formula": "KAl3Fe2Si2H2O12", "functional": "SCAN", "state": "PBEsol geometry", "lattice_angstrom": [[-3.213, 0.798, 4.057], [-1.928, -2.168, -4.368], [4.174, -8.831, 3.840]], "species": ["H", "K", "O", "O", "Si", "O", "O", "Fe", "O", "O", "O", "Al", "O", "H", "O", "O", "O", "Al", "Fe", "Si", "O", "Al"], "frac_coords": [[0.896, 0.937, 0.689], [0.009, 0.995, 0.000], [0.074, 0.665, 0.184], [0.459, 0.473, 0.179], [0.417, 0.753, 0.227], [0.640, 0.041, 0.167], [0.105, 0.126, 0.403], [0.486, 0.509, 0.499], [0.863, 0.894, 0.594], [0.361, 0.955, 0.820], [0.561, 0.195, 0.609], [0.745, 0.407, 0.232], [0.552, 0.528, 0.821], [0.068, 0.085, 0.308], [0.792, 0.438, 0.403], [0.500, 0.838, 0.389], [0.167, 0.497, 0.602], [0.831, 0.174, 0.500], [0.177, 0.817, 0.500], [0.602, 0.253, 0.772], [0.937, 0.338, 0.831], [0.257, 0.584, 0.773]], "dft_energy_ev_per_atom": -10.248, "n_ef_per_ev_cell": 0.0, "magnetic_moment_mub_per_atom": 0.00}

***

Entry 3:
{"formula": "BeTlMo2", "functional": "SCAN", "state": "PBEsol geometry", "lattice_angstrom": [[2.807, 0.000, -0.004], [0.000, 3.969, 0.000], [-0.670, 0.000, 5.621]], "species": ["Mo", "Tl", "Be", "Mo"], "frac_coords": [[0.931, 0.000, 0.704], [0.500, 0.500, 0.000], [0.500, 0.500, 0.500], [0.069, 0.000, 0.296]], "dft_energy_ev_per_atom": -36.088, "n_ef_per_ev_cell": 2.6, "polymorph_energy_mev_per_atom": 22.0, "formation_enthalpy_0k_ev_per_atom": 0.533, "magnetic_moment_mub_per_atom": 0.00}

***

Entry 4:
{"formula": "La3AuI3", "functional": "SCAN", "state": "PBEsol geometry", "lattice_angstrom": [[-2.910, -2.539, 10.143], [10.484, -2.396, -1.463], [-1.552, 10.612, -1.660]], "species": ["I", "La", "I", "I", "Au", "Au", "La", "I", "I", "La", "La", "La", "I", "La", "I", "La", "Au", "I", "I", "La", "Au", "I", "La", "I", "La", "La", "I", "La"], "frac_coords": [[0.261, 0.023, 0.511], [0.512, 0.524, 0.262], [0.011, 0.750, 0.989], [0.239, 0.489, 0.977], [0.000, 0.500, 0.250], [0.500, 0.750, 0.500], [0.512, 0.988, 0.750], [0.477, 0.239, 0.989], [0.489, 0.477, 0.739], [0.988, 0.250, 0.012], [0.524, 0.762, 0.012], [0.738, 0.762, 0.750], [0.750, 0.261, 0.739], [0.738, 0.976, 0.488], [0.011, 0.261, 0.523], [0.250, 0.512, 0.488], [0.750, 0.000, 0.000], [0.750, 0.489, 0.511], [0.489, 0.011, 0.250], [0.250, 0.738, 0.262], [0.750, 0.750, 0.250], [0.261, 0.239, 0.250], [0.976, 0.988, 0.238], [0.239, 0.750, 0.761], [0.762, 0.512, 0.024], [0.762, 0.250, 0.238], [0.023, 0.011, 0.761], [0.988, 0.738, 0.476]], "dft_energy_ev_per_atom": -45.478, "e_form_raw_mev_per_atom": -1379, "n_ef_per_ev_cell": 25.5, "magnetic_moment_mub_per_atom": 0.00}

***

Entry 5:
{"formula": "RbMoN2", "functional": "SCAN", "state": "PBEsol geometry", "lattice_angstrom": [[4.141, 0.000, 0.000], [2.070, 3.586, 0.000], [2.070, 1.195, 3.381]], "species": ["Mo", "Rb", "N", "N"], "frac_coords": [[0.500, 0.500, 0.500], [0.000, 0.000, 0.000], [0.750, 0.750, 0.750], [0.250, 0.250, 0.250]], "dft_energy_ev_per_atom": -16.862, "e_form_raw_mev_per_atom": 1690, "n_ef_per_ev_cell": 1.2, "polymorph_energy_mev_per_atom": 2264.6, "magnetic_moment_mub_per_atom": 0.25}

***

Entry 6:
{"formula": "LiTc2H", "functional": "SCAN", "state": "PBEsol geometry", "lattice_angstrom": [[-2.523, -0.057, -2.918], [-0.322, -3.145, -2.211], [-3.160, -2.201, 0.225]], "species": ["Tc", "Li", "H", "Tc"], "frac_coords": [[0.750, 0.750, 0.750], [0.500, 0.500, 0.500], [0.000, 0.000, 0.000], [0.250, 0.250, 0.250]], "dft_energy_ev_per_atom": -18.009, "n_ef_per_ev_cell": 3.4, "magnetic_moment_mub_per_atom": 0.00}

***

Entry 7:
{"formula": "KYBi2F", "functional": "SCAN", "state": "PBEsol geometry", "lattice_angstrom": [[4.633, 0.000, 0.000], [0.000, 5.303, 0.000], [0.000, 0.000, 5.303]], "species": ["Bi", "K", "Y", "F", "Bi"], "frac_coords": [[0.000, 0.500, 0.000], [0.500, 0.000, 0.000], [0.500, 0.500, 0.500], [0.000, 0.000, 0.000], [0.000, 0.000, 0.500]], "dft_energy_ev_per_atom": -40.270, "e_form_raw_mev_per_atom": -896, "n_ef_per_ev_cell": 1.6, "magnetic_moment_mub_per_atom": 0.00}

***

Entry 8:
{"formula": "LiSmW2O8", "functional": "SCAN", "state": "PBEsol geometry", "lattice_angstrom": [[5.006, 0.000, -0.032], [0.000, 5.816, 0.000], [-0.920, 0.000, 10.131]], "species": ["W", "Li", "O", "O", "O", "O", "Li", "O", "Sm", "Sm", "O", "O", "O", "O", "O", "W", "O", "W", "O", "W", "O", "O", "O", "O"], "frac_coords": [[0.753, 0.179, 0.020], [0.750, 0.759, 0.750], [0.894, 0.381, 0.600], [0.606, 0.381, 0.900], [0.417, 0.634, 0.642], [0.583, 0.366, 0.358], [0.250, 0.241, 0.250], [0.523, 0.929, 0.884], [0.750, 0.704, 0.250], [0.250, 0.296, 0.750], [0.977, 0.929, 0.616], [0.083, 0.634, 0.858], [0.917, 0.366, 0.142], [0.043, 0.112, 0.908], [0.106, 0.619, 0.400], [0.747, 0.179, 0.480], [0.543, 0.888, 0.408], [0.247, 0.821, 0.980], [0.477, 0.071, 0.116], [0.253, 0.821, 0.520], [0.394, 0.619, 0.100], [0.023, 0.071, 0.384], [0.957, 0.888, 0.092], [0.457, 0.112, 0.592]], "dft_energy_ev_per_atom": -22.367, "e_form_raw_mev_per_atom": -2696, "n_ef_per_ev_cell": 0.0, "polymorph_energy_mev_per_atom": 4.5, "magnetic_moment_mub_per_atom": 0.00}